Computed, not measured: a geometry-optimized Na2Zn5Ge3 structure at the GGA-PBE level of DFT.

Computed properties:
The crystal system is orthorhombic. For the energy of formation from the pure elements, the calculation gives -66 meV per atom.

a = 11.2617 Å, b = 11.6932 Å, c = 5.8410 Å
α = 90.00°, β = 90.00°, γ = 90.00°
Last column: nearest neighbours and their distance in Å.
Space group Ibam (No. 72)
Inequivalent atoms, fractional coordinates:
Na (0.2460, 0.1258, 0.0000)  10 Zn 3.15-3.52, 4 Ge 3.16-3.22
Zn (0.0000, 0.0000, 0.2500)  4 Ge 2.61
Zn (0.0000, 0.2515, 0.2500)  2 Ge 2.56, 2 Zn 2.63
Zn (0.1433, 0.3782, 0.0000)  3 Ge 2.48-2.60, 2 Zn 2.63
Ge (0.0000, 0.5000, 0.2500)  6 Zn 2.60-2.91
Ge (0.1369, 0.1291, 0.5000)  5 Zn 2.48-2.61


Computed, not measured: a geometry-optimized Tb2Sm7Tm3 structure at the GGA-PBE level of DFT.

Computed properties:
The crystal system is orthorhombic. For the energy of formation from the pure elements, the calculation gives 116 meV per atom.

a = 5.7410 Å, b = 37.8777 Å, c = 3.6166 Å
α = 90.00°, β = 90.00°, γ = 90.00°
Last column: nearest neighbours and their distance in Å.
Space group Cmmm (No. 65)
Inequivalent atoms, fractional coordinates:
Tb (0.0000, 0.1488, 0.0000)  3 Sm 3.15-3.42
Sm (0.0000, 0.0000, 0.0000)  6 Sm 3.28-3.62, 4 Tm 3.39
Sm (0.0000, 0.0722, 0.5000)  8 Sm 3.28-3.62, 2 Tb 3.42
Sm (0.0000, 0.2320, 0.0000)  1 Tb 3.15, 2 Sm 3.18
Sm (0.0000, 0.4078, 0.0000)  6 Sm 3.48-3.62, 2 Tb 3.58
Tm (0.0000, 0.3151, 0.5000)  2 Tm 3.62, 8 Sm 3.63-3.95, 4 Tb 3.66
Tm (0.0000, 0.5000, 0.5000)  4 Sm 3.39, 2 Tm 3.62


Computed, not measured: a geometry-optimized LiTl2Cd structure at the GGA-PBE level of DFT.

Computed properties:
The crystal system is trigonal. For the energy of formation from the pure elements, the calculation gives -73 meV per atom.

a = 3.4347 Å, b = 3.4347 Å, c = 28.6711 Å
α = 90.00°, β = 90.00°, γ = 120.00°
Last column: nearest neighbours and their distance in Å.
Space group R-3m (No. 166, hexagonal axes)
Inequivalent atoms, fractional coordinates:
Li (0.0000, 0.0000, 0.0000)  6 Tl 2.99
Tl (0.0000, 0.0000, 0.2552)  3 Li 2.99, 3 Cd 3.22
Cd (0.0000, 0.0000, 0.5000)  6 Tl 3.22, 6 Cd 3.43